## PrHgO (PBE)

Data for an optimized crystal structure of PrHgO.

```
6
Lattice="0.046 3.465 -2.012 -2.497 2.955 1.042 5.925 5.652 5.880" Properties=species:S:1:pos:R:3 pbc="T T T"
Pr -0.596 4.821 0.308
Pr 4.070 7.251 4.601
Hg 0.255 7.830 1.519
Hg 3.219 4.242 3.390
O 3.667 9.606 4.658
O -0.192 2.465 0.251
```

For the formation energy from raw total energies, the calculation gives -1.951 eV per atom. The calculated volume comes out at 136.43 Å³/cell. The symmetry is R-3m. The total energy is -5.297 eV per atom.


## SrPd2W (PBE)

Data for an optimized crystal structure of SrPd2W.

```
8
Lattice="5.215 0.000 0.000 0.000 5.215 0.000 2.608 2.608 8.208" Properties=species:S:1:pos:R:3 pbc="T T T"
Sr 2.608 2.608 0.000
Sr 2.608 5.215 4.104
Pd 5.075 1.304 2.052
Pd 5.356 3.911 2.052
Pd 3.911 2.748 6.156
Pd 6.519 2.467 6.156
W 0.000 0.000 0.000
W 5.215 2.608 4.104
```

The calculated volume comes out at 223.26 Å³/cell. The symmetry is I-42d. The value obtained for the formation energy is 604 meV per atom. The total energy is -5.651 eV per atom.


## NiHRh2Pb (PBE)

Data for an optimized crystal structure of NiHRh2Pb.

```
5
Lattice="-1.828 -2.890 2.205 -0.132 -2.414 -3.273 3.478 -1.477 0.949" Properties=species:S:1:pos:R:3 pbc="T T T"
Pb 0.759 -3.390 -0.060
Ni 1.739 -0.738 0.474
Rh -0.066 -1.207 -1.636
Rh -0.914 -1.445 1.102
H 0.000 0.000 0.000
```

The calculated volume comes out at 64.50 Å³/cell. The symmetry is P4/mmm. The total energy is -5.547 eV per atom.


## KV2Hg (PBE)

Data for an optimized crystal structure of KV2Hg.

```
8
Lattice="4.353 0.000 0.000 0.000 4.353 0.000 2.177 2.177 10.625" Properties=species:S:1:pos:R:3 pbc="T T T"
K 2.177 2.177 0.000
K 2.177 4.353 5.312
Hg 0.000 0.000 0.000
Hg 4.353 2.177 5.312
V 4.147 1.088 2.656
V 4.560 3.265 2.656
V 3.265 2.383 7.968
V 5.442 1.970 7.968
```

The calculated volume comes out at 201.37 Å³/cell. The symmetry is I-42d. The value obtained for the formation energy is 1105 meV per atom. The total energy is -3.804 eV per atom.


## CsP (PBE)

Data for an optimized crystal structure of CsP.

```
16
Lattice="-1.492 -10.142 -7.959 6.133 -2.922 2.573 -3.280 -2.990 4.425" Properties=species:S:1:pos:R:3 pbc="T T T"
Cs -2.496 -6.302 1.476
Cs 0.546 -9.950 -5.027
Cs 0.754 -10.550 -0.839
Cs 3.917 -5.305 2.466
Cs 0.329 -3.281 3.267
Cs -1.410 -7.057 -2.177
Cs 0.976 -15.022 -1.351
Cs 2.825 -6.746 -1.662
P 0.591 -4.897 0.231
P -2.383 -10.278 -2.936
P 3.649 -10.252 -2.885
P 0.864 -6.680 3.667
P 3.190 -12.448 -2.428
P 0.980 -6.811 1.384
P 2.160 -3.230 0.240
P -3.610 -9.618 -1.119
```

The calculated volume comes out at 590.88 Å³/cell. The symmetry is P2_12_12_1. The value obtained for the formation energy is -386 meV per atom. The total energy is -3.518 eV per atom.


## La3Ti5O12 (PBE)

Data for an optimized crystal structure of La3Ti5O12.

```
80
Lattice="11.227 0.000 0.000 -3.742 10.585 0.000 -3.742 -5.293 9.167" Properties=species:S:1:pos:R:3 pbc="T T T"
La 6.549 3.308 1.146
La 6.549 7.277 1.146
La -0.936 4.631 5.729
La 0.936 -0.662 3.438
La 8.421 0.000 2.292
La 0.936 5.293 2.292
La 2.807 0.000 6.875
La -4.678 5.293 6.875
La 2.807 5.954 5.729
La 4.678 0.662 3.438
La -2.807 -1.985 8.021
La -2.807 1.985 8.021
Ti -0.936 2.646 2.292
Ti -1.871 5.293 0.000
Ti 0.000 0.000 0.000
Ti 2.807 1.985 1.146
Ti 3.742 -2.646 4.584
Ti 3.742 5.293 0.000
Ti -2.807 5.954 3.438
Ti 4.678 -3.308 8.021
Ti 4.678 4.631 3.438
Ti 0.936 -2.646 6.875
Ti 2.807 7.939 2.292
Ti 1.871 2.646 4.584
Ti 5.614 0.000 0.000
Ti -1.871 -2.646 4.584
Ti -0.936 0.662 5.729
Ti -0.936 8.601 1.146
Ti -3.742 2.646 4.584
Ti 6.549 -0.662 5.729
Ti 0.936 3.308 8.021
Ti 4.678 2.646 6.875
O 7.361 1.149 0.163
O 0.124 3.362 3.670
O 8.476 2.466 2.744
O 4.623 1.503 1.076
O 1.371 3.803 6.260
O 8.099 5.379 1.677
O -0.991 6.256 3.820
O -2.752 9.082 1.076
O 0.500 6.783 6.260
O 4.999 5.206 1.677
O 5.738 3.079 3.507
O 5.738 9.437 0.163
O -3.242 4.676 4.747
O 2.486 3.797 0.763
O -3.867 7.506 3.507
O 1.995 -1.931 5.497
O -0.500 0.874 1.840
O 2.486 6.701 0.913
O 4.623 8.120 2.744
O -0.614 3.884 0.913
O -2.372 6.166 7.328
O 2.862 4.330 3.820
O 5.113 5.909 4.747
O 4.357 -1.495 8.404
O 0.881 0.963 5.347
O -1.371 -0.616 4.421
O -0.614 6.788 0.763
O -0.881 -2.827 6.423
O 6.114 -0.874 1.840
O 4.357 1.409 8.254
O 1.257 -1.409 8.254
O 1.747 7.224 3.670
O 4.243 4.419 7.328
O 7.609 -2.213 5.660
O 6.984 0.616 4.421
O -1.995 -4.144 9.004
O 1.257 1.495 8.404
O 3.242 -1.490 2.907
O -1.257 0.086 7.491
O -1.995 2.213 5.660
O 6.494 -3.790 8.091
O 4.733 -0.963 5.347
O -0.881 3.790 8.091
O -4.357 -0.086 7.491
O 2.372 1.490 2.907
O -4.733 2.827 6.423
O 3.618 1.931 5.497
O -3.618 4.144 9.004
```

For the formation energy from raw total energies, the calculation gives -3.073 eV per atom. The calculated volume comes out at 1089.47 Å³/cell. The symmetry is Ia-3d. The total energy is -8.761 eV per atom.